1.
PBE-GGA TbZnIrPd, relaxed; E_tot = -22.26 eV/cell
1.0
4.640 0.000 0.000
2.320 4.018 0.000
2.320 1.339 3.788
Zn Ir Tb Pd
1 1 1 1
direct
0.250 0.250 0.250 Zn
0.000 0.000 0.000 Ir
0.750 0.750 0.750 Tb
0.500 0.500 0.500 Pd

***

2.
PBE-GGA TbPrBi2, relaxed; E_tot = -41.27 eV/cell
1.0
4.554 0.000 0.000
-2.277 3.944 0.000
0.000 0.000 15.064
Tb Pr Bi
2 2 4
direct
0.000 0.000 0.500 Tb
0.000 0.000 0.000 Tb
0.667 0.333 0.250 Pr
0.333 0.667 0.750 Pr
0.333 0.667 0.382 Bi
0.667 0.333 0.882 Bi
0.667 0.333 0.618 Bi
0.333 0.667 0.118 Bi

***

3.
PBE-GGA Mn2InBi, relaxed; E_tot = -45.47 eV/cell
1.0
7.628 0.000 0.000
0.000 7.628 0.000
3.814 3.814 3.092
Mn Bi In
4 2 2
direct
0.621 0.125 0.250 Mn
0.129 0.625 0.250 Mn
0.375 0.379 0.750 Mn
0.875 0.871 0.750 Mn
0.000 0.000 0.000 Bi
0.750 0.250 0.500 Bi
0.500 0.500 0.000 In
0.250 0.750 0.500 In

***

4.
PBE-GGA RbNa4Tl8, relaxed; E_tot = -26.13 eV/cell
1.0
5.805 0.000 2.334
2.903 8.017 1.167
-0.087 0.000 8.605
Rb Na Tl
1 4 8
direct
0.000 0.000 0.000 Rb
0.000 0.000 0.500 Na
0.500 0.000 0.500 Na
0.000 0.500 0.000 Na
0.500 0.500 0.000 Na
0.000 0.358 0.642 Tl
0.000 0.642 0.358 Tl
0.358 0.642 0.642 Tl
0.642 0.358 0.358 Tl
0.500 0.777 0.223 Tl
0.500 0.223 0.777 Tl
0.277 0.223 0.223 Tl
0.723 0.777 0.777 Tl

***

no.,calculated formation energy (eV per atom)
1,-0.576
2,-0.866
3,0.556
4,-0.074